The following is a PBE calculation of an optimized crystal structure of Ce6Sb3As2P, from the Alexandria database.

## Properties
- Formation energy from raw total energies: -1.225 eV per atom
- Volume: 28.77 Å³ per atom
- D(E_F): 2.8048 states/eV per atom

abc: 9.7203 9.7203 8.7184
angles: 103.80 103.80 25.61
Closest atoms and distances in Å follow each position.
Sites, in units of the cell vectors:
Ce 0.0031 0.0031 0.2330  2 P 2.95, 1 As 3.00, 3 Sb 3.15-3.18
Ce 0.3293 0.3293 0.4268  3 As 2.99-3.00, 3 Sb 3.14
Ce 0.3405 0.3405 0.9084  1 P 2.93, 2 As 2.99, 3 Sb 3.14-3.17
Ce 0.6595 0.6595 0.0916  1 P 2.93, 2 As 2.99, 3 Sb 3.14-3.17
Ce 0.6707 0.6707 0.5732  3 As 2.99-3.00, 3 Sb 3.14
Ce 0.9969 0.9969 0.7670  2 P 2.95, 1 As 3.00, 3 Sb 3.15-3.18
Sb 0.1681 0.1681 0.8340  6 Ce 3.14-3.17
Sb 0.5000 0.5000 0.5000  6 Ce 3.14-3.18
Sb 0.8319 0.8319 0.1660  6 Ce 3.14-3.17
As 0.1662 0.1662 0.3330  6 Ce 2.99-3.00
As 0.8338 0.8338 0.6670  6 Ce 2.99-3.00
P 0.5000 0.5000 0.0000  6 Ce 2.93-2.95